# LiS | the Alexandria database | PBE | optimized geometry
# - E_tot: -3.766 eV/atom
# - DOS at the Fermi energy: 0.3985 states/eV per atom
data_LiS
_cell_length_a 6.8483
_cell_length_b 7.0893
_cell_length_c 14.4420
_cell_angle_alpha 90.00
_cell_angle_beta 90.00
_cell_angle_gamma 90.00
_symmetry_space_group_name_H-M 'F d d d'
_symmetry_Int_Tables_number 70
loop_
_symmetry_equiv_pos_as_xyz
'x,y,z'
'-x,-y,-z'
'-x+1/4,-y+1/4,z'
'x+1/4,y+1/4,-z'
'x,-y+1/4,-z+1/4'
'-x,y+1/4,z+1/4'
'-x+1/4,y,-z+1/4'
'x+1/4,-y,z+1/4'
'x,y+1/2,z+1/2'
'-x,-y+1/2,-z+1/2'
'-x+1/4,-y+3/4,z+1/2'
'x+1/4,y+3/4,-z+1/2'
'x,-y+3/4,-z+3/4'
'-x,y+3/4,z+3/4'
'-x+1/4,y+1/2,-z+3/4'
'x+1/4,-y+1/2,z+3/4'
'x+1/2,y,z+1/2'
'-x+1/2,-y,-z+1/2'
'-x+3/4,-y+1/4,z+1/2'
'x+3/4,y+1/4,-z+1/2'
'x+1/2,-y+1/4,-z+3/4'
'-x+1/2,y+1/4,z+3/4'
'-x+3/4,y,-z+3/4'
'x+3/4,-y,z+3/4'
'x+1/2,y+1/2,z'
'-x+1/2,-y+1/2,-z'
'-x+3/4,-y+3/4,z'
'x+3/4,y+3/4,-z'
'x+1/2,-y+3/4,-z+1/4'
'-x+1/2,y+3/4,z+1/4'
'-x+3/4,y+1/2,-z+1/4'
'x+3/4,-y+1/2,z+1/4'
loop_
_atom_site_label
_atom_site_type_symbol
_atom_site_fract_x
_atom_site_fract_y
_atom_site_fract_z
Li1 Li 0.1250 0.3376 0.1250
S1 S 0.1250 0.1250 0.2584